Record 1
12
Lattice="-3.738 -0.367 -2.362 3.477 0.763 -5.620 1.005 -6.807 3.635" Properties=species:S:1:pos:R:3 comment="GGA-PBE TmTa5Ru6, relaxed" sg="Immm (71)" magmom_total_mub_per_fu=0.00 crystal_system=orthorhombic formation_energy_ev_per_atom=-0.36 pbc="T T T"
Tm 0.000 0.000 0.000
Ta 2.311 -3.944 -3.043
Ta -1.566 -2.468 -1.304
Ta 1.738 0.382 -2.810
Ta 0.587 -4.432 -0.239
Ta 0.158 -1.979 -4.108
Ru 1.176 -2.057 -1.540
Ru 2.896 -1.679 -4.322
Ru -2.152 -4.732 -0.025
Ru -0.431 -4.355 -2.807
Ru -0.971 0.013 -2.633
Ru 0.710 0.382 -5.349

Record 2
11
Lattice="-2.074 -2.812 1.252 4.126 0.234 1.860 -3.017 3.385 2.607" Properties=species:S:1:pos:R:3 comment="GGA-PBE FeNi5H5, relaxed" e_tot_ev_per_fu=-54.395 sg="C2/m (12)" magmom_total_mub_per_fu=3.38 crystal_system=monoclinic pbc="T T T"
H -1.436 2.378 2.965
H 0.471 -1.571 2.754
H -0.957 0.030 3.985
H -0.007 0.777 1.734
H -1.037 -1.406 0.626
Ni 0.056 1.473 3.402
Ni -1.020 -0.666 2.316
Ni -2.527 1.028 3.627
Ni -1.509 1.692 1.304
Ni 1.562 -0.221 2.092
Fe 0.000 0.000 0.000

Record 3
5
Lattice="2.981 0.000 0.972 1.462 4.459 0.572 0.017 -0.261 5.006" Properties=species:S:1:pos:R:3 comment="GGA-PBE MnV2Ga2, relaxed" sg="C2/m (12)" magmom_total_mub_per_fu=0.23 crystal_system=monoclinic formation_energy_ev_per_atom=-0.16 pbc="T T T"
Ga 1.797 1.519 4.601
Ga 2.662 2.679 1.949
V 3.542 3.490 4.306
V 0.917 0.708 2.244
Mn 0.000 0.000 0.000

Record 4
4
Lattice="5.681 0.000 0.000 2.840 4.920 0.000 2.840 1.640 4.638" Properties=species:S:1:pos:R:3 comment="GGA-PBE CaErTm2, relaxed" sg="Fm-3m (225)" magmom_total_mub_per_fu=0.37 crystal_system=cubic formation_energy_ev_per_atom=0.19 pbc="T T T"
Tm 8.521 4.920 3.479
Tm 2.840 1.640 1.160
Ca 0.000 0.000 0.000
Er 5.681 3.280 2.319

Record 5
11
Lattice="5.158 -0.139 -0.993 -1.972 6.348 -3.092 -0.155 -0.515 7.312" Properties=species:S:1:pos:R:3 comment="GGA-PBE Sc8FeRh2, relaxed" sg="Cm (8)" magmom_total_mub_per_fu=0.00 crystal_system=monoclinic formation_energy_ev_per_atom=-0.31 pbc="T T T"
Sc 0.250 2.042 1.303
Sc 0.514 3.664 4.212
Sc 2.766 3.691 1.951
Sc 4.637 0.711 4.286
Sc 2.499 2.062 -0.959
Sc 3.535 4.876 -2.028
Sc 0.065 5.361 1.639
Sc 2.947 0.368 1.610
Rh 1.870 1.522 3.667
Rh 1.157 4.213 -0.413
Fe -0.001 0.020 0.013

Record 6
10
Lattice="7.930 0.000 0.000 3.965 6.868 0.000 3.965 2.289 7.009" Properties=species:S:1:pos:R:3 comment="GGA-PBE La2YTmTe6, relaxed" sg="R3 (146)" magmom_total_mub_per_fu=0.00 crystal_system=trigonal raw_formation_energy_ev_per_atom=-1.436 pbc="T T T"
Tm 3.965 2.288 0.224
Te 8.964 2.403 5.331
Te 5.530 4.772 5.331
Te 9.296 6.561 5.331
Te 6.535 1.996 1.809
Te 6.391 7.078 1.809
Te 10.865 4.660 1.809
Y 11.895 6.868 3.737
La 3.965 2.289 6.639
La 7.930 4.579 3.129

Record 7
5
Lattice="4.278 0.000 0.000 0.000 4.278 0.000 0.000 0.000 4.278" Properties=species:S:1:pos:R:3 comment="GGA-PBE GaB3Cl, relaxed" sg="Pm-3m (221)" magmom_total_mub_per_fu=0.00 crystal_system=cubic raw_formation_energy_ev_per_atom=1.833 pbc="T T T"
B 0.000 2.139 0.000
B 2.139 0.000 0.000
B 0.000 0.000 2.139
Ga 0.000 0.000 0.000
Cl 2.139 2.139 2.139

Record 8
6
Lattice="0.000 4.495 4.495 4.495 0.000 4.495 4.495 4.495 0.000" Properties=species:S:1:pos:R:3 comment="GGA-PBE KIrPb4, relaxed" sg="F-43m (216)" magmom_total_mub_per_fu=0.00 crystal_system=cubic formation_energy_ev_per_atom=0.60 pbc="T T T"
Pb 5.607 5.607 3.384
Pb 3.384 3.384 3.384
Pb 3.384 5.607 5.607
Pb 5.607 3.384 5.607
Ir 6.743 6.743 6.743
K 0.000 0.000 0.000